Record 1
Here is LiZnIr2 at its PBEsol-relaxed geometry from Alexandria. Energies are from meta-GGA SCAN.

Structure (POSCAR):
```
LiZnIr2
1.0
2.625 0.000 0.000
0.000 3.918 0.000
0.000 0.000 5.221
Ir Li Zn
2 1 1
Direct
0.000 0.000 0.756
0.000 0.000 0.244
0.500 0.500 0.000
0.500 0.500 0.500
```

Output
**SG**: Pmmm (47)
**Final energy**: -158.25 eV for the cell shown
**E_form**: -0.04 eV/atom

=====

Record 2
Here is ZrIn2Sb at its PBEsol-relaxed geometry from Alexandria. Energies are from meta-GGA SCAN.

Structure (POSCAR):
```
ZrIn2Sb
1.0
-4.799 -1.470 0.985
-1.190 -1.945 4.579
-2.884 2.696 3.252
In Sb Zr
2 1 1
Direct
0.750 0.750 0.750
0.000 0.000 0.000
0.500 0.500 0.500
0.250 0.250 0.250
```

Output
**Uncorrected formation energy**: 0.0885 eV per atom
**SG**: F-43m (216)
**Final energy**: -134.38 eV for the cell shown